[1]
VASP calculation (PBE-GGA) on a relaxed structure of LaCuTe2I.

Results
Uncorrected formation energy = -0.522 eV/atom
E above lowest polymorph = 0.00 eV per formula unit
Space group = P4/mmm
Calculated total energy = -19.47 eV/cell

```
data_LaCuTe2I
_chemical_formula_sum 'La1 Cu1 Te2 I1'
_space_group_name_H-M_alt 'P 1'
_space_group_IT_number 1
_cell_length_a 5.2941
_cell_length_b 5.2941
_cell_length_c 5.2687
_cell_angle_alpha 90.00
_cell_angle_beta 90.00
_cell_angle_gamma 90.00
loop_
_space_group_symop_operation_xyz
'x,y,z'
loop_
_atom_site_label
_atom_site_type_symbol
_atom_site_fract_x
_atom_site_fract_y
_atom_site_fract_z
I1 I 0.0000 0.0000 0.5000
Te1 Te 0.0000 0.5000 0.0000
Te2 Te 0.5000 0.0000 0.0000
Cu1 Cu 0.0000 0.0000 0.0000
La1 La 0.5000 0.5000 0.5000
```

=====

[2]
VASP calculation (PBE-GGA) on a relaxed structure of TbHo12Tm7.

Results
Formation energy = 311 meV per atom
E above lowest polymorph = 0.00 eV per formula unit
Space group = R-3
Calculated total energy = -84.65 eV/cell

```
data_TbHo12Tm7
_chemical_formula_sum 'Tb1 Ho12 Tm7'
_space_group_name_H-M_alt 'P 1'
_space_group_IT_number 1
_cell_length_a 8.5848
_cell_length_b 8.5848
_cell_length_c 8.5848
_cell_angle_alpha 95.08
_cell_angle_beta 95.08
_cell_angle_gamma 95.08
loop_
_space_group_symop_operation_xyz
'x,y,z'
loop_
_atom_site_label
_atom_site_type_symbol
_atom_site_fract_x
_atom_site_fract_y
_atom_site_fract_z
Tb1 Tb 0.0000 0.0000 0.0000
Ho1 Ho 0.8122 0.2500 0.6848
Ho2 Ho 0.7500 0.3152 0.1878
Ho3 Ho 0.4765 0.1469 0.4148
Ho4 Ho 0.8531 0.5852 0.5235
Ho5 Ho 0.3152 0.1878 0.7500
Ho6 Ho 0.5852 0.5235 0.8531
Ho7 Ho 0.4148 0.4765 0.1469
Ho8 Ho 0.6848 0.8122 0.2500
Ho9 Ho 0.1469 0.4148 0.4765
Ho10 Ho 0.5235 0.8531 0.5852
Ho11 Ho 0.2500 0.6848 0.8122
Ho12 Ho 0.1878 0.7500 0.3152
Tm1 Tm 0.9182 0.6489 0.9810
Tm2 Tm 0.3511 0.0190 0.0818
Tm3 Tm 0.0190 0.0818 0.3511
Tm4 Tm 0.5000 0.5000 0.5000
Tm5 Tm 0.9810 0.9182 0.6489
Tm6 Tm 0.6489 0.9810 0.9182
Tm7 Tm 0.0818 0.3511 0.0190
```

=====

[3]
VASP calculation (PBE-GGA) on a relaxed structure of Cr4GeN.

Results
Uncorrected formation energy = 0.054 eV/atom
Space group = P2_1/c
Calculated total energy = -102.22 eV/cell

```
data_Cr4GeN
_chemical_formula_sum 'Cr8 Ge2 N2'
_space_group_name_H-M_alt 'P 1'
_space_group_IT_number 1
_cell_length_a 5.9092
_cell_length_b 4.7853
_cell_length_c 5.1520
_cell_angle_alpha 90.00
_cell_angle_beta 104.68
_cell_angle_gamma 90.00
loop_
_space_group_symop_operation_xyz
'x,y,z'
loop_
_atom_site_label
_atom_site_type_symbol
_atom_site_fract_x
_atom_site_fract_y
_atom_site_fract_z
Cr1 Cr 0.8983 0.5650 0.1358
Cr2 Cr 0.6017 0.0650 0.8642
Cr3 Cr 0.3221 0.3617 0.4363
Cr4 Cr 0.1779 0.8617 0.5637
Cr5 Cr 0.1017 0.4350 0.8642
Cr6 Cr 0.3983 0.9350 0.1358
Cr7 Cr 0.6779 0.6383 0.5637
Cr8 Cr 0.8221 0.1383 0.4363
Ge1 Ge 0.0000 0.0000 0.0000
Ge2 Ge 0.5000 0.5000 0.0000
N1 N 0.5000 0.0000 0.5000
N2 N 0.0000 0.5000 0.5000
```

=====

[4]
VASP calculation (PBE-GGA) on a relaxed structure of Ca4PmAg2.

Results
Formation energy = 2 meV per atom
Space group = R-3m
Calculated total energy = -18.44 eV/cell

```
data_Ca4PmAg2
_chemical_formula_sum 'Ca4 Pm1 Ag2'
_space_group_name_H-M_alt 'P 1'
_space_group_IT_number 1
_cell_length_a 5.6004
_cell_length_b 5.6004
_cell_length_c 9.4473
_cell_angle_alpha 72.76
_cell_angle_beta 72.76
_cell_angle_gamma 60.00
loop_
_space_group_symop_operation_xyz
'x,y,z'
loop_
_atom_site_label
_atom_site_type_symbol
_atom_site_fract_x
_atom_site_fract_y
_atom_site_fract_z
Ca1 Ca 0.7198 0.7198 0.8405
Ca2 Ca 0.8904 0.8904 0.3287
Ca3 Ca 0.2802 0.2802 0.1595
Ca4 Ca 0.1096 0.1096 0.6713
Pm1 Pm 0.5000 0.5000 0.5000
Ag1 Ag 0.6074 0.6074 0.1778
Ag2 Ag 0.3926 0.3926 0.8222
```

=====

[5]
VASP calculation (PBE-GGA) on a relaxed structure of ScGa3Sn.

Results
Formation energy = 457 meV per atom
E above lowest polymorph = 0.00 eV per formula unit
Space group = Pm-3m
Calculated total energy = -17.13 eV/cell

```
data_ScGa3Sn
_chemical_formula_sum 'Sc1 Ga3 Sn1'
_space_group_name_H-M_alt 'P 1'
_space_group_IT_number 1
_cell_length_a 5.2057
_cell_length_b 5.2057
_cell_length_c 5.2057
_cell_angle_alpha 90.00
_cell_angle_beta 90.00
_cell_angle_gamma 90.00
loop_
_space_group_symop_operation_xyz
'x,y,z'
loop_
_atom_site_label
_atom_site_type_symbol
_atom_site_fract_x
_atom_site_fract_y
_atom_site_fract_z
Sc1 Sc 0.0000 0.0000 0.0000
Sn1 Sn 0.5000 0.5000 0.5000
Ga1 Ga 0.0000 0.5000 0.0000
Ga2 Ga 0.0000 0.0000 0.5000
Ga3 Ga 0.5000 0.0000 0.0000
```

=====

[6]
VASP calculation (PBE-GGA) on a relaxed structure of Rb2FeNiCl6.

Results
Uncorrected formation energy = -1.105 eV/atom
E above lowest polymorph = 0.79 eV per formula unit
Space group = I4/mmm
Calculated total energy = -38.31 eV/cell

```
data_Rb2FeNiCl6
_chemical_formula_sum 'Rb2 Fe1 Ni1 Cl6'
_space_group_name_H-M_alt 'P 1'
_space_group_IT_number 1
_cell_length_a 7.2294
_cell_length_b 7.2294
_cell_length_c 6.8415
_cell_angle_alpha 58.11
_cell_angle_beta 58.11
_cell_angle_gamma 90.00
loop_
_space_group_symop_operation_xyz
'x,y,z'
loop_
_atom_site_label
_atom_site_type_symbol
_atom_site_fract_x
_atom_site_fract_y
_atom_site_fract_z
Ni1 Ni 0.0000 0.0000 0.0000
Fe1 Fe 0.5000 0.5000 0.0000
Rb1 Rb 0.7500 0.2500 0.5000
Rb2 Rb 0.2500 0.7500 0.5000
Cl1 Cl 0.2460 0.2460 0.5080
Cl2 Cl 0.7540 0.7540 0.4920
Cl3 Cl 0.2539 0.2539 0.0000
Cl4 Cl 0.7461 0.7461 0.0000
Cl5 Cl 0.7461 0.2539 0.0000
Cl6 Cl 0.2539 0.7461 0.0000
```